[1]
# CaCr3Ge (PBE, optimized geometry)
data_CaCr3Ge
_chemical_formula_sum 'Ca1 Cr3 Ge1'
_cell_length_a 4.859
_cell_length_b 4.859
_cell_length_c 4.859
_cell_angle_alpha 90.00
_cell_angle_beta 90.00
_cell_angle_gamma 90.00
_symmetry_space_group_name_H-M 'P 1'
_symmetry_Int_Tables_number 1
_symmetry_space_group_name_Hall 'P 1'
loop_
_atom_site_label
_atom_site_type_symbol
_atom_site_fract_x
_atom_site_fract_y
_atom_site_fract_z
_atom_site_occupancy
Ca1 Ca 0.000 0.000 0.000 1
Cr1 Cr 0.000 0.500 0.500 1
Cr2 Cr 0.500 0.000 0.500 1
Cr3 Cr 0.500 0.500 0.000 1
Ge1 Ge 0.500 0.500 0.500 1
# formation energy from the elements	3.9	eV/f.u.
# crystal system	cubic



[2]
# Ca3CrGe (PBE, optimized geometry)
data_Ca3CrGe
_chemical_formula_sum 'Ca3 Cr1 Ge1'
_cell_length_a 5.671
_cell_length_b 5.671
_cell_length_c 5.671
_cell_angle_alpha 90.00
_cell_angle_beta 90.00
_cell_angle_gamma 90.00
_symmetry_space_group_name_H-M 'P 1'
_symmetry_Int_Tables_number 1
_symmetry_space_group_name_Hall 'P 1'
loop_
_atom_site_label
_atom_site_type_symbol
_atom_site_fract_x
_atom_site_fract_y
_atom_site_fract_z
_atom_site_occupancy
Ca1 Ca 0.000 0.000 0.500 1
Ca2 Ca 0.000 0.500 0.000 1
Ca3 Ca 0.500 0.000 0.000 1
Cr1 Cr 0.500 0.500 0.500 1
Ge1 Ge 0.000 0.000 0.000 1
# formation energy from the elements	1.2	eV/f.u.
# crystal system	cubic



[3]
# CaCrGe2 (PBE, optimized geometry)
data_CaCrGe2
_chemical_formula_sum 'Ca2 Cr2 Ge4'
_cell_length_a 8.868
_cell_length_b 8.868
_cell_length_c 8.868
_cell_angle_alpha 147.47
_cell_angle_beta 147.47
_cell_angle_gamma 46.66
_symmetry_space_group_name_H-M 'P 1'
_symmetry_Int_Tables_number 1
_symmetry_space_group_name_Hall 'P 1'
loop_
_atom_site_label
_atom_site_type_symbol
_atom_site_fract_x
_atom_site_fract_y
_atom_site_fract_z
_atom_site_occupancy
Ca1 Ca 0.000 0.000 0.000 1
Ca2 Ca 0.750 0.250 0.500 1
Cr1 Cr 0.250 0.750 0.500 1
Cr2 Cr 0.500 0.500 0.000 1
Ge1 Ge 0.288 0.625 0.163 1
Ge2 Ge 0.375 0.538 0.663 1
Ge3 Ge 0.462 0.125 0.837 1
Ge4 Ge 0.875 0.712 0.337 1
# formation energy from the elements	0.2	eV/f.u.
# crystal system	tetragonal



[4]
# CaCrGe2 (PBE, optimized geometry)
data_CaCrGe2
_chemical_formula_sum 'Ca1 Cr1 Ge2'
_cell_length_a 5.929
_cell_length_b 5.929
_cell_length_c 5.929
_cell_angle_alpha 41.14
_cell_angle_beta 41.14
_cell_angle_gamma 41.14
_symmetry_space_group_name_H-M 'P 1'
_symmetry_Int_Tables_number 1
_symmetry_space_group_name_Hall 'P 1'
loop_
_atom_site_label
_atom_site_type_symbol
_atom_site_fract_x
_atom_site_fract_y
_atom_site_fract_z
_atom_site_occupancy
Ca1 Ca 0.000 0.000 0.000 1
Cr1 Cr 0.500 0.500 0.500 1
Ge1 Ge 0.220 0.220 0.220 1
Ge2 Ge 0.780 0.780 0.780 1
# formation energy from the elements	-0.7	eV/f.u.
# crystal system	trigonal



[5]
# CaCr3Ge (PBE, optimized geometry)
data_CaCr3Ge
_chemical_formula_sum 'Ca1 Cr3 Ge1'
_cell_length_a 4.980
_cell_length_b 4.980
_cell_length_c 4.980
_cell_angle_alpha 90.00
_cell_angle_beta 90.00
_cell_angle_gamma 90.00
_symmetry_space_group_name_H-M 'P 1'
_symmetry_Int_Tables_number 1
_symmetry_space_group_name_Hall 'P 1'
loop_
_atom_site_label
_atom_site_type_symbol
_atom_site_fract_x
_atom_site_fract_y
_atom_site_fract_z
_atom_site_occupancy
Ca1 Ca 0.000 0.000 0.000 1
Cr1 Cr 0.000 0.000 0.500 1
Cr2 Cr 0.000 0.500 0.000 1
Cr3 Cr 0.500 0.000 0.000 1
Ge1 Ge 0.500 0.500 0.500 1
# formation energy from the elements	10.5	eV/f.u.
# crystal system	cubic



[6]
# CaCr2GeH (PBE, optimized geometry)
data_CaCr2GeH
_chemical_formula_sum 'Ca1 Cr2 Ge1 H1'
_cell_length_a 5.123
_cell_length_b 5.123
_cell_length_c 3.823
_cell_angle_alpha 90.00
_cell_angle_beta 90.00
_cell_angle_gamma 90.00
_symmetry_space_group_name_H-M 'P 1'
_symmetry_Int_Tables_number 1
_symmetry_space_group_name_Hall 'P 1'
loop_
_atom_site_label
_atom_site_type_symbol
_atom_site_fract_x
_atom_site_fract_y
_atom_site_fract_z
_atom_site_occupancy
Ca1 Ca 0.000 0.000 0.000 1
Cr1 Cr 0.000 0.500 0.500 1
Cr2 Cr 0.500 0.000 0.500 1
Ge1 Ge 0.500 0.500 0.500 1
H1 H 0.500 0.500 0.000 1
# energy	-5.10	eV/atom
# crystal system	tetragonal